VASP calculation (PBE-GGA) on crystalline ZrMn2P at its relaxed geometry.

Cell lengths 4.385, 4.385, 4.475 Å; angles 74.80, 74.80, 43.39 degrees
Each line ends with the local moment (μB).
Atoms (fractional coordinates):
P 0.750 0.750 0.750  -0.04
Mn 0.478 0.478 0.554  1.76
Mn 0.022 0.022 0.946  1.76
Zr 0.250 0.250 0.250  -0.29

Computed properties:
* energy: -8.34 eV/atom
* calculated volume: 14.2 A^3/atom
* crystal system: monoclinic
* energy relative to the elements: -25.8 kJ per mole of atoms

VASP calculation (PBE-GGA) on crystalline SiSnPbS4 at its relaxed geometry.

Cell lengths 6.655, 6.597, 8.498 Å; angles 90.00, 108.38, 90.00 degrees
Atoms (fractional coordinates):
Pb 0.762 0.750 0.938
S 0.999 0.002 0.225
Sn 0.729 0.750 0.445
S 0.619 0.250 0.451
Si 0.793 0.250 0.711
S 0.381 0.750 0.549
S 0.427 0.750 0.152
S 0.001 0.502 0.775
S 0.999 0.498 0.225
S 0.001 0.998 0.775
Pb 0.238 0.250 0.062
Sn 0.271 0.250 0.555
Si 0.207 0.750 0.289
S 0.573 0.250 0.848

Computed properties:
* energy: -4.80 eV/atom
* calculated volume: 25.3 A^3/atom
* ΔE_f (raw): -0.563 eV per atom
* crystal system: monoclinic

VASP calculation (PBE-GGA) on crystalline LiMn2InP at its relaxed geometry.

Cell lengths 4.483, 4.536, 4.483 Å; angles 90.00, 90.00, 90.00 degrees
Each line ends with the local moment (μB).
Atoms (fractional coordinates):
In 0.500 0.500 0.500  -0.09
P 0.000 0.000 0.000  -0.06
Mn 0.000 0.000 0.500  3.37
Mn 0.500 0.000 0.000  3.43
Li 0.000 0.500 0.000  -0.01

Computed properties:
* energy: -5.69 eV/atom
* calculated volume: 18.2 A^3/atom
* crystal system: tetragonal
* energy relative to the elements: -1.1 kJ per mole of atoms

VASP calculation (PBE-GGA) on crystalline LiHgRu2 at its relaxed geometry.

Cell lengths 5.089, 5.089, 5.089 Å; angles 144.36, 127.14, 65.39 degrees
Atoms (fractional coordinates):
Li 0.246 0.746 0.500
Hg 0.489 0.489 0.000
Ru 0.003 0.003 0.000
Ru 0.762 0.262 0.500

Computed properties:
* energy: -4.78 eV/atom
* calculated volume: 15.1 A^3/atom
* crystal system: orthorhombic
* energy relative to the elements: 39.6 kJ per mole of atoms

VASP calculation (PBE-GGA) on crystalline CaInI2O at its relaxed geometry.

Cell lengths 6.234, 6.234, 4.449 Å; angles 90.00, 90.00, 90.00 degrees
Each line ends with the local moment (μB).
Atoms (fractional coordinates):
I 0.500 0.000 0.000  -0.06
Ca 0.000 0.000 0.000  0.01
I 0.000 0.500 0.000  -0.06
In 0.500 0.500 0.500  0.00
O 0.000 0.000 0.500  -0.66

Computed properties:
* energy: -3.49 eV/atom
* calculated volume: 34.6 A^3/atom
* ΔE_f (raw): -0.934 eV per atom
* crystal system: tetragonal
* polymorph energy (0 for the lowest one): 0 meV per atom

VASP calculation (PBE-GGA) on crystalline Na2Cd3Hg3 at its relaxed geometry.

Cell lengths 3.603, 8.151, 8.151 Å; angles 120.00, 90.00, 90.00 degrees
Atoms (fractional coordinates):
Cd 0.000 0.225 0.225
Na 0.000 0.333 0.667
Hg 0.500 0.368 0.000
Hg 0.500 0.000 0.368
Cd 0.000 0.775 0.000
Na 0.000 0.667 0.333
Hg 0.500 0.632 0.632
Cd 0.000 0.000 0.775

Computed properties:
* energy: -0.85 eV/atom
* calculated volume: 25.9 A^3/atom
* crystal system: hexagonal
* polymorph energy (0 for the lowest one): 62 meV per atom
* energy relative to the elements: -6.3 kJ per mole of atoms